VASP calculation (GGA-PBEsol) on a geometry-optimized Na2PBr structure.

Structure (POSCAR):
```
Na2PBr
1.0
-3.913 3.913 3.006
3.913 -3.913 3.006
3.913 3.913 -3.006
Na P Br
4 2 2
Direct
0.121 0.625 0.996
0.375 0.371 0.496
0.629 0.125 0.004
0.875 0.879 0.504
0.000 0.000 0.000
0.750 0.250 0.500
0.250 0.750 0.500
0.500 0.500 0.000
```

Output
Electronic total energy: -2.9289 eV/atom
Total magnetic moment: 1.27 Bohr magnetons per cell